VASP calculation (PBE+U) on a geometry-optimized Tl2SiMoO6 structure.

```
10
Lattice="-2.5978 2.5978 5.5687 2.5978 -2.5978 5.5687 2.5978 2.5978 -5.5687" Properties=species:S:1:pos:R:3 pbc="T T T"
Tl 2.5978 0.0000 2.7844
Tl 0.0000 2.5978 2.7844
Si 0.0000 0.0000 0.0000
Mo 0.0000 0.0000 5.5687
O 1.1913 1.1913 0.0000
O 1.4065 -1.4065 5.5687
O 0.0000 0.0000 3.6885
O 0.0000 0.0000 7.4489
O -1.4065 1.4065 5.5687
O 1.4065 1.4065 5.5687
```

DFT total energy ... -6.0881 eV/atom
Space-group type ... I4/mmm, No. 139
Total magnetic moment ... 0.0 Bohr magnetons per cell